# Er8TcPb2, optimized geometry, DFT PBE-GGA
data_Er8TcPb2
_chemical_formula_sum 'Er16 Tc2 Pb4'
_cell_length_a 17.268
_cell_length_b 5.485
_cell_length_c 7.015
_cell_angle_alpha 90.00
_cell_angle_beta 113.93
_cell_angle_gamma 90.00
_space_group_name_H-M_alt 'C 1 2/m 1'
_space_group_IT_number 12
_space_group_name_Hall '-C 2y'
loop_
_atom_site_label
_atom_site_type_symbol
_atom_site_fract_x
_atom_site_fract_y
_atom_site_fract_z
Er1 Er 0.002 0.000 0.262
Er2 Er 0.121 0.500 0.889
Er3 Er 0.127 0.500 0.372
Er4 Er 0.188 0.000 0.698
Tc1 Tc 0.000 0.500 0.500
Pb1 Pb 0.187 0.000 0.188
# V ... 607 Å³ per cell
# ΔE_f ... -2.32 eV/f.u.
# D(E_F) ... 12.2 states/eV/f.u.

---

# Cu8Ni3Rh2, optimized geometry, DFT PBE-GGA
data_Cu8Ni3Rh2
_chemical_formula_sum 'Cu16 Ni6 Rh4'
_cell_length_a 11.264
_cell_length_b 6.541
_cell_length_c 4.883
_cell_angle_alpha 90.00
_cell_angle_beta 109.75
_cell_angle_gamma 90.00
_space_group_name_H-M_alt 'C 1 2/m 1'
_space_group_IT_number 12
_space_group_name_Hall '-C 2y'
loop_
_atom_site_label
_atom_site_type_symbol
_atom_site_fract_x
_atom_site_fract_y
_atom_site_fract_z
Cu1 Cu 0.096 0.000 0.207
Cu2 Cu 0.113 0.183 0.682
Cu3 Cu 0.209 0.500 0.916
Ni1 Ni 0.000 0.327 0.000
Ni2 Ni 0.000 0.500 0.500
Rh1 Rh 0.192 0.500 0.394
# V ... 339 Å³ per cell
# ΔE_f ... 3.47 eV/f.u.
# D(E_F) ... 14.3 states/eV/f.u.

---

# Tl4Hg11, optimized geometry, DFT PBE-GGA
data_Tl4Hg11
_chemical_formula_sum 'Tl8 Hg22'
_cell_length_a 11.721
_cell_length_b 11.721
_cell_length_c 6.238
_cell_angle_alpha 90.00
_cell_angle_beta 90.00
_cell_angle_gamma 90.00
_space_group_name_H-M_alt 'P 42/m n m'
_space_group_IT_number 136
_space_group_name_Hall '-P 4n 2n'
loop_
_atom_site_label
_atom_site_type_symbol
_atom_site_fract_x
_atom_site_fract_y
_atom_site_fract_z
Tl1 Tl 0.050 0.360 0.000
Hg1 Hg 0.000 0.000 0.500
Hg2 Hg 0.074 0.267 0.500
Hg3 Hg 0.092 0.092 0.000
Hg4 Hg 0.176 0.824 0.249
# V ... 857 Å³ per cell
# ΔE_f ... 0.07 eV/f.u.
# D(E_F) ... 5.1 states/eV/f.u.

---

# Ac2Ge3Pt2, optimized geometry, DFT PBE-GGA
data_Ac2Ge3Pt2
_chemical_formula_sum 'Ac4 Ge6 Pt4'
_cell_length_a 11.616
_cell_length_b 4.283
_cell_length_c 6.798
_cell_angle_alpha 90.00
_cell_angle_beta 100.78
_cell_angle_gamma 90.00
_space_group_name_H-M_alt 'C 1 2/m 1'
_space_group_IT_number 12
_space_group_name_Hall '-C 2y'
loop_
_atom_site_label
_atom_site_type_symbol
_atom_site_fract_x
_atom_site_fract_y
_atom_site_fract_z
Ac1 Ac 0.174 0.000 0.240
Ge1 Ge 0.000 0.500 0.500
Ge2 Ge 0.080 0.500 0.897
Pt1 Pt 0.102 0.000 0.693
# Distance to the lowest polymorph of the same formula ... 16 meV per atom
# V ... 332 Å³ per cell
# ΔE_f ... -5.50 eV/f.u.
# D(E_F) ... 3.4 states/eV/f.u.

---

# Sm12YHo5, optimized geometry, DFT PBE-GGA
data_Sm12YHo5
_chemical_formula_sum 'Sm24 Y2 Ho10'
_cell_length_a 15.242
_cell_length_b 15.271
_cell_length_c 5.091
_cell_angle_alpha 90.00
_cell_angle_beta 90.00
_cell_angle_gamma 90.00
_space_group_name_H-M_alt 'C m m m'
_space_group_IT_number 65
_space_group_name_Hall '-C 2 2'
loop_
_atom_site_label
_atom_site_type_symbol
_atom_site_fract_x
_atom_site_fract_y
_atom_site_fract_z
Sm1 Sm 0.165 0.000 0.000
Sm2 Sm 0.165 0.167 0.500
Sm3 Sm 0.166 0.333 0.000
Sm4 Sm 0.166 0.500 0.500
Y1 Y 0.000 0.500 0.000
Ho1 Ho 0.000 0.000 0.500
Ho2 Ho 0.000 0.167 0.000
Ho3 Ho 0.000 0.333 0.500
# V ... 1185 Å³ per cell
# ΔE_f ... 0.33 eV/f.u.
# D(E_F) ... 25.8 states/eV/f.u.

---

# Cs2WN, optimized geometry, DFT PBE-GGA
data_Cs2WN
_chemical_formula_sum 'Cs8 W4 N4'
_cell_length_a 13.522
_cell_length_b 13.522
_cell_length_c 3.924
_cell_angle_alpha 90.00
_cell_angle_beta 90.00
_cell_angle_gamma 90.00
_space_group_name_H-M_alt 'I -4 2 d'
_space_group_IT_number 122
_space_group_name_Hall 'I -4 2bw'
loop_
_atom_site_label
_atom_site_type_symbol
_atom_site_fract_x
_atom_site_fract_y
_atom_site_fract_z
Cs1 Cs 0.034 0.250 0.125
W1 W 0.000 0.000 0.500
N1 N 0.000 0.000 0.000
# V ... 717 Å³ per cell
# D(E_F) ... 3.4 states/eV/f.u.
# Calculated total energy ... -82.2 eV/cell

---

# K3U3HgTe8, optimized geometry, DFT PBE-GGA
data_K3U3HgTe8
_chemical_formula_sum 'K3 U3 Hg1 Te8'
_cell_length_a 8.923
_cell_length_b 9.043
_cell_length_c 9.718
_cell_angle_alpha 62.98
_cell_angle_beta 62.75
_cell_angle_gamma 60.59
_space_group_name_H-M_alt 'P -1'
_space_group_IT_number 2
_space_group_name_Hall '-P 1'
loop_
_atom_site_label
_atom_site_type_symbol
_atom_site_fract_x
_atom_site_fract_y
_atom_site_fract_z
K1 K 0.000 0.000 0.000
K2 K 0.000 0.500 0.000
K3 K 0.500 0.000 0.000
U1 U 0.000 0.500 0.500
U2 U 0.500 0.000 0.500
U3 U 0.500 0.500 0.500
Hg1 Hg 0.000 0.000 0.500
Te1 Te 0.237 0.240 0.296
Te2 Te 0.250 0.712 0.288
Te3 Te 0.262 0.263 0.712
Te4 Te 0.275 0.758 0.705
# V ... 580 Å³ per cell
# D(E_F) ... 20.8 states/eV/f.u.
# Calculated total energy ... -73.0 eV/cell

---

# Li2GaPt, optimized geometry, DFT PBE-GGA
data_Li2GaPt
_chemical_formula_sum 'Li2 Ga1 Pt1'
_cell_length_a 3.142
_cell_length_b 3.142
_cell_length_c 5.607
_cell_angle_alpha 90.00
_cell_angle_beta 90.00
_cell_angle_gamma 90.00
_space_group_name_H-M_alt 'P 4/m m m'
_space_group_IT_number 123
_space_group_name_Hall '-P 4 2'
loop_
_atom_site_label
_atom_site_type_symbol
_atom_site_fract_x
_atom_site_fract_y
_atom_site_fract_z
Li1 Li 0.000 0.000 0.234
Ga1 Ga 0.500 0.500 0.500
Pt1 Pt 0.500 0.500 0.000
# V ... 55 Å³ per cell
# ΔE_f ... -1.86 eV/f.u.
# D(E_F) ... 1.0 states/eV/f.u.

---

What did the seventh record say?
# K3U3HgTe8, optimized geometry, DFT PBE-GGA
data_K3U3HgTe8
_chemical_formula_sum 'K3 U3 Hg1 Te8'
_cell_length_a 8.923
_cell_length_b 9.043
_cell_length_c 9.718
_cell_angle_alpha 62.98
_cell_angle_beta 62.75
_cell_angle_gamma 60.59
_space_group_name_H-M_alt 'P -1'
_space_group_IT_number 2
_space_group_name_Hall '-P 1'
loop_
_atom_site_label
_atom_site_type_symbol
_atom_site_fract_x
_atom_site_fract_y
_atom_site_fract_z
K1 K 0.000 0.000 0.000
K2 K 0.000 0.500 0.000
K3 K 0.500 0.000 0.000
U1 U 0.000 0.500 0.500
U2 U 0.500 0.000 0.500
U3 U 0.500 0.500 0.500
Hg1 Hg 0.000 0.000 0.500
Te1 Te 0.237 0.240 0.296
Te2 Te 0.250 0.712 0.288
Te3 Te 0.262 0.263 0.712
Te4 Te 0.275 0.758 0.705
# V ... 580 Å³ per cell
# D(E_F) ... 20.8 states/eV/f.u.
# Calculated total energy ... -73.0 eV/cell